# PBE-GGA La2CuSb3Rh4, relaxed
data_La2CuSb3Rh4
_chemical_formula_sum 'La2 Cu1 Sb3 Rh4'
_symmetry_space_group_name_H-M 'P -4 m 2'
_symmetry_Int_Tables_number 115
_cell_length_a 4.4000
_cell_length_b 4.4000
_cell_length_c 10.8782
_cell_angle_alpha 90.00
_cell_angle_beta 90.00
_cell_angle_gamma 90.00
loop_
_symmetry_equiv_pos_as_xyz
'x,y,z'
'y,-x,-z'
'-x,-y,z'
'-y,x,-z'
'-x,y,z'
'-y,-x,-z'
'x,-y,z'
'y,x,-z'
loop_
_atom_site_label
_atom_site_type_symbol
_atom_site_fract_x
_atom_site_fract_y
_atom_site_fract_z
La1 La 0.0000 0.5000 0.2359
Cu1 Cu 0.5000 0.5000 0.0000
Sb1 Sb 0.0000 0.0000 0.0000
Sb2 Sb 0.0000 0.5000 0.6355
Rh1 Rh 0.0000 0.0000 0.5000
Rh2 Rh 0.0000 0.5000 0.8713
Rh3 Rh 0.5000 0.5000 0.5000
# - D(E_F): 5.45 states/eV per cell
# - Formation energy from raw total energies: -780 meV per atom
# - Uncorrected energy: -6.352 eV/atom